A plane-wave DFT calculation with PBE was carried out for SrZrAsO after structural relaxation.

Lattice parameters (Å, degrees): 4.283 4.283 8.592 90.00 90.00 90.00
Space group P4/nmm (No. 129, origin choice 2)
Unique sites:
Sr 0.250 0.750 0.000 x2
Zr 0.250 0.250 0.415 x2
As 0.250 0.250 0.753 x2
O 0.250 0.750 0.500 x2

Computed properties:
Theoretical density (g/cm3): 5.68
Distance to the lowest polymorph of the same formula (eV per atom): 0.600
Magnetization (μB per cell): 0.03